Record 1
# LaW2

A geometry-optimized LaW2 structure (PBE-GGA, the Alexandria database).

Computed properties:
Spin magnetization in μB per formula unit: 0.00
Calculated formation energy in kcal/mol of atoms: 20.5
Electronic total energy in eV per atom: -9.39

a b c (Å): 3.698 3.698 5.400
angles (deg): 90.00 90.00 90.00
Space group P4/mmm (No. 123)
Unique sites:
La 0.000 0.000 0.000
W 0.000 0.500 0.500


Record 2
# LaW2

A geometry-optimized LaW2 structure (PBE-GGA, the Alexandria database).

Computed properties:
Spin magnetization in μB per formula unit: 0.00
Calculated formation energy in kcal/mol of atoms: 18.6
Electronic total energy in eV per atom: -9.47

a b c (Å): 5.394 14.335 3.185
angles (deg): 90.00 90.00 90.00
Space group Cmcm (No. 63)
Unique sites:
La 0.000 0.093 0.250
W 0.000 0.270 0.750
W 0.000 0.417 0.250


Record 3
# LaW3

A geometry-optimized LaW3 structure (PBE-GGA, the Alexandria database).

Computed properties:
Energy relative to the lowest polymorph listed for this composition in meV per atom: 155
Spin magnetization in μB per formula unit: 0.00
Calculated formation energy in kcal/mol of atoms: 14.6
Electronic total energy in eV per atom: -10.32

a b c (Å): 2.858 4.362 6.693
angles (deg): 90.00 100.62 90.00
Space group P2/m (No. 10)
Unique sites:
La 0.000 0.000 0.000
W 0.246 0.500 0.683
W 0.500 0.000 0.500


Record 4
# LaW2

A geometry-optimized LaW2 structure (PBE-GGA, the Alexandria database).

Computed properties:
Spin magnetization in μB per formula unit: 0.00
Calculated formation energy in kcal/mol of atoms: 17.9
Electronic total energy in eV per atom: -9.50

a b c (Å): 3.1889 3.1889 7.2766
angles (deg): 90.00 90.00 120.00
Space group P-3m1 (No. 164)
Unique sites:
La 0.0000 0.0000 0.0000
W 0.3333 0.6667 0.6232


Record 5
# LaW3

A geometry-optimized LaW3 structure (PBE-GGA, the Alexandria database).

Computed properties:
Energy relative to the lowest polymorph listed for this composition in meV per atom: 262
Spin magnetization in μB per formula unit: 0.00
Calculated formation energy in kcal/mol of atoms: 17.0
Electronic total energy in eV per atom: -10.21

a b c (Å): 6.681 6.681 6.681
angles (deg): 90.00 90.00 90.00
Space group Fm-3m (No. 225)
Unique sites:
La 0.000 0.000 0.000
W 0.000 0.000 0.500
W 0.250 0.250 0.250


Record 6
# LaW3

A geometry-optimized LaW3 structure (PBE-GGA, the Alexandria database).

Computed properties:
Energy relative to the lowest polymorph listed for this composition in meV per atom: 727
Spin magnetization in μB per formula unit: 0.00
Calculated formation energy in kcal/mol of atoms: 27.7
Electronic total energy in eV per atom: -9.74

a b c (Å): 5.379 5.379 5.379
angles (deg): 90.00 90.00 90.00
Space group Pm-3n (No. 223)
Unique sites:
La 0.000 0.000 0.000
W 0.000 0.250 0.500


Record 7
# La2YW

A geometry-optimized La2YW structure (PBE-GGA, the Alexandria database).

Computed properties:
Energy relative to the lowest polymorph listed for this composition in meV per atom: 51
Spin magnetization in μB per formula unit: 0.00
Calculated formation energy in kcal/mol of atoms: 11.4
Electronic total energy in eV per atom: -6.82

a b c (Å): 3.635 3.635 8.718
angles (deg): 90.00 90.00 90.00
Space group P4/mmm (No. 123)
Unique sites:
La 0.000 0.000 0.204
Y 0.500 0.500 0.500
W 0.500 0.500 0.000


Record 8
# LaY2W

A geometry-optimized LaY2W structure (PBE-GGA, the Alexandria database).

Computed properties:
Energy relative to the lowest polymorph listed for this composition in meV per atom: 146
Spin magnetization in μB per formula unit: 0.00
Calculated formation energy in kcal/mol of atoms: 12.8
Electronic total energy in eV per atom: -7.15

a b c (Å): 7.479 7.479 7.479
angles (deg): 90.00 90.00 90.00
Space group Fm-3m (No. 225)
Unique sites:
La 0.000 0.000 0.000
Y 0.250 0.250 0.250
W 0.000 0.000 0.500